# 1
{"formula": "NbSiBrCl2", "functional": "GGA-PBE", "state": "optimized geometry", "lattice": [[4.654, 0.000, 0.000], [0.000, 4.654, 0.000], [0.000, 0.000, 5.522]], "species": ["Nb", "Si", "Br", "Cl", "Cl"], "fractional_positions": [[0.000, 0.000, 0.000], [0.000, 0.000, 0.500], [0.500, 0.500, 0.000], [0.000, 0.500, 0.500], [0.500, 0.000, 0.500]], "n_ef_per_ev_cell": 5.3, "magmom_total_mub_per_atom": 0.544, "e_form_raw_ev_per_atom": 0.201}

---

# 2
{"formula": "NbTl2Br2Cl4", "functional": "GGA-PBE", "state": "optimized geometry", "lattice": [[6.477, -3.581, 0.000], [6.477, 3.581, 0.000], [-3.951, 0.000, 6.071]], "species": ["Nb", "Tl", "Tl", "Br", "Br", "Cl", "Cl", "Cl", "Cl"], "fractional_positions": [[0.000, 0.000, 0.000], [0.252, 0.252, 0.781], [0.748, 0.748, 0.219], [0.237, 0.237, 0.297], [0.763, 0.763, 0.703], [0.208, 0.730, 0.203], [0.270, 0.792, 0.797], [0.730, 0.208, 0.203], [0.792, 0.270, 0.797]], "n_ef_per_ev_cell": 5.8, "magmom_total_mub_per_atom": 0.111, "e_form_raw_ev_per_atom": -1.071}